Computed, not measured: a geometry-optimized FeRhSeO5 structure at the PBE with a Hubbard U level of DFT.

The structure in POSCAR format:
```
FeRhSeO5
1.0
5.855 -0.038 -0.480
-1.746 5.589 -0.480
-2.241 -3.027 6.873
O Se Fe Rh
10 2 2 2
direct
0.951 0.355 0.091
0.645 0.049 0.409
0.049 0.645 0.909
0.601 0.801 0.934
0.941 0.059 0.750
0.399 0.199 0.066
0.059 0.941 0.250
0.355 0.951 0.591
0.801 0.601 0.434
0.199 0.399 0.566
0.276 0.724 0.750
0.724 0.276 0.250
0.254 0.746 0.250
0.746 0.254 0.750
0.000 0.000 0.000
0.000 0.000 0.500
```

Symmetry: C2/c, No. 15
Raw total energy (eV per cell): -94.0
Magnetic moment (μB per formula unit): 5.000